DFT (PBE-GGA) results for a relaxed MoPb crystal.

Geometry as CIF:
```
data_MoPb
_chemical_formula_sum 'Mo8 Pb8'
_cell_length_a 8.5769
_cell_length_b 8.5769
_cell_length_c 8.5769
_cell_angle_alpha 90.00
_cell_angle_beta 90.00
_cell_angle_gamma 90.00
_space_group_name_H-M_alt 'I -4 3 m'
_space_group_IT_number 217
_space_group_name_Hall 'I -4 2 3'
loop_
_atom_site_label
_atom_site_fract_x
_atom_site_fract_y
_atom_site_fract_z
_atom_site_occupancy
Mo1 0.1030 0.1030 0.1030 1
Pb1 0.2083 0.2083 0.7917 1
```

Summary:
Energy above the most stable polymorph in this dataset = 776 meV/atom
ΔH_f (0 K) = 1101 meV per atom
Calculated density = 6.383 g cm⁻³